# MgNpTlF6

A geometry-optimized MgNpTlF6 structure (PBE, Alexandria).

Structure (extended XYZ):
```
18
Lattice="7.976 0.000 0.000 0.000 7.385 0.000 -3.988 -3.692 5.163" Properties=species:S:1:pos:R:3 pbc="T T T"
F 5.420 3.532 1.396
F 0.000 -1.846 4.436
F 3.988 -1.846 3.758
F 1.433 0.160 3.767
F 5.420 0.160 1.396
F -1.433 3.532 3.767
F 2.555 0.160 1.396
F 0.000 5.539 1.405
F 1.433 3.532 3.767
F 2.555 3.532 1.396
F -1.433 0.160 3.767
F 3.988 5.539 0.727
Np -1.994 -1.846 2.582
Np 1.994 -1.846 2.582
Mg 3.988 0.000 0.000
Mg 3.988 3.692 0.000
Tl 0.000 1.846 1.823
Tl 3.988 1.846 3.340
```

Values from the calculation:
Formation energy from raw total energies: -3065.7 meV per atom

***

# PrNdCu

A geometry-optimized PrNdCu structure (PBE, Alexandria).

Structure (extended XYZ):
```
6
Lattice="-3.039 0.386 -1.954 -0.828 -7.224 -0.146 -1.662 1.899 6.340" Properties=species:S:1:pos:R:3 pbc="T T T"
Nd -2.341 -6.289 1.604
Nd -3.383 1.098 4.690
Pr -3.807 -2.518 4.632
Pr -1.917 -2.672 1.663
Cu -4.176 -0.553 2.219
Cu -4.585 -4.246 2.121
```

Values from the calculation:
Distance to the lowest polymorph of the same formula: 0.08 eV per formula unit
E_form: -0.06 eV/atom

***

# Ba2POs

A geometry-optimized Ba2POs structure (PBE, Alexandria).

Structure (extended XYZ):
```
8
Lattice="11.979 0.000 0.000 0.000 11.979 0.000 5.989 5.989 2.243" Properties=species:S:1:pos:R:3 pbc="T T T"
Ba 14.973 5.267 1.682
Ba 11.257 2.995 0.561
Ba 8.984 6.711 1.682
Ba 12.701 8.984 0.561
Os 0.000 0.000 0.000
Os 11.979 5.989 1.121
P 5.989 5.989 0.000
P 5.989 11.979 1.121
```

Values from the calculation:
E_form: -0.15 eV/atom

***

# YFe2Co2

A geometry-optimized YFe2Co2 structure (PBE, Alexandria).

Structure (extended XYZ):
```
5
Lattice="3.936 0.000 0.000 0.000 3.936 0.000 1.968 1.968 4.875" Properties=species:S:1:pos:R:3 pbc="T T T"
Co 3.936 3.936 3.731
Co 1.968 1.968 1.144
Y 0.000 0.000 0.000
Fe 3.936 1.968 2.437
Fe 1.968 3.936 2.437
```

Values from the calculation:
Distance to the lowest polymorph of the same formula: 0.00 eV per formula unit
E_form: -0.08 eV/atom

***

# CsPd2S2

A geometry-optimized CsPd2S2 structure (PBE, Alexandria).

Structure (extended XYZ):
```
5
Lattice="-0.174 2.765 -3.813 -0.151 -3.817 -2.761 -6.115 -0.500 -2.997" Properties=species:S:1:pos:R:3 pbc="T T T"
Pd -2.558 -0.516 -3.170
Pd -3.883 -1.037 -6.400
S -3.226 0.869 -5.048
S -3.215 -2.422 -4.522
Cs 0.000 0.000 0.000
```

Values from the calculation:
Formation energy from raw total energies: -505.2 meV per atom
Distance to the lowest polymorph of the same formula: 0.00 eV per formula unit

***

# NbPt8Au2

A geometry-optimized NbPt8Au2 structure (PBE, Alexandria).

Structure (extended XYZ):
```
11
Lattice="-0.965 2.363 3.094 3.089 -4.581 4.462 4.836 4.749 -2.118" Properties=species:S:1:pos:R:3 pbc="T T T"
Pt 3.007 -1.261 4.501
Pt 4.853 1.295 3.125
Pt 3.953 3.793 0.937
Pt 1.116 -1.130 1.211
Pt 1.550 1.187 -0.423
Pt 6.809 1.298 1.132
Pt 2.107 1.237 2.313
Pt 6.375 -1.018 2.766
Au 4.177 1.230 0.363
Au 3.748 -1.062 1.980
Nb -0.483 1.182 1.547
```

Values from the calculation:
E_form: -0.08 eV/atom

***

Q: Which formula does entry 3 have?
A: Ba2POs